#i
Y2BeTe: PBEsol geometry, SCAN.

Results
As for the volume: 102.4 Å³/cell.

a b c (Å): 4.1690 4.1690 5.8916
angles (deg): 90.00 90.00 90.00
With the nearest neighbours (Å) after each atom.
Space group P4mm (No. 99)
Symmetry-distinct sites (fractional):
1 Y 0.0000 0.0000 0.0000  2 Be 2.94-2.95, 4 Te 2.95
2 Y 0.5000 0.5000 0.4980  2 Te 2.94-2.95, 4 Be 2.95
3 Be 0.0000 0.0000 0.4997  6 Y 2.94-2.95
4 Te 0.5000 0.5000 0.9978  6 Y 2.94-2.95

#ii
Y2BeTe: PBEsol geometry, SCAN.

Results
As for the volume: 91.5 Å³/cell.

a b c (Å): 3.6900 3.6900 6.7228
angles (deg): 90.00 90.00 90.00
With the nearest neighbours (Å) after each atom.
Space group P4/mmm (No. 123)
Symmetry-distinct sites (fractional):
1 Y 0.0000 0.0000 0.2354  4 Be 3.05, 4 Te 3.16, 1 Y 3.17
2 Be 0.5000 0.5000 0.0000  8 Y 3.05, 2 Te 3.36
3 Te 0.5000 0.5000 0.5000  8 Y 3.16, 2 Be 3.36

From most stable to least stable, the computed energies give #i, #ii.